Record 1
Ho3Er2Tm8 PBE optimized geometry; ΔH_f (0 K) = 0.249 eV/atom; relative energy among the computed polymorphs = 0.0853 eV per atom; total moment = 0.00 μB/atom; crystal system = monoclinic
1.0
5.454 0.000 0.759
0.000 7.488 0.000
-1.382 -3.744 9.910
Ho Er Tm
3 2 8
Direct
0.500 0.000 0.000
0.000 0.284 0.000
0.000 0.716 0.000
0.500 0.241 0.483
0.500 0.759 0.517
0.000 0.667 0.334
0.000 0.333 0.666
0.000 0.133 0.266
0.000 0.867 0.734
0.500 0.603 0.781
0.500 0.178 0.781
0.500 0.822 0.219
0.500 0.397 0.219



Record 2
HoEr4Tm8 PBE optimized geometry; ΔH_f (0 K) = 0.237 eV/atom; total moment = 0.00 μB/atom; crystal system = trigonal
1.0
1.535 -2.642 -6.486
-2.072 -4.403 5.265
-8.849 4.303 0.116
Ho Er Tm
1 4 8
Direct
0.000 0.500 0.500
0.000 0.000 0.000
0.000 0.500 0.000
0.500 0.500 0.000
0.500 0.000 0.000
0.568 0.784 0.352
0.432 0.216 0.648
0.499 0.250 0.303
0.947 0.196 0.697
0.501 0.750 0.697
0.947 0.750 0.697
0.053 0.250 0.303
0.053 0.804 0.303



Record 3
Ho4Er7Tm2 PBE optimized geometry; ΔH_f (0 K) = 0.176 eV/atom; total moment = 0.00 μB/atom; crystal system = trigonal
1.0
5.983 0.000 0.000
-2.991 5.181 0.000
0.000 0.000 13.083
Ho Er Tm
4 7 2
Direct
0.000 0.000 0.607
0.000 0.000 0.393
0.667 0.333 0.500
0.333 0.667 0.500
0.000 0.645 0.786
0.000 0.355 0.214
0.000 0.000 0.000
0.645 0.000 0.786
0.355 0.000 0.214
0.645 0.645 0.214
0.355 0.355 0.786
0.667 0.333 0.000
0.333 0.667 0.000



Record 4
Ho4Er8Tm3 PBE optimized geometry; ΔH_f (0 K) = 0.147 eV/atom; relative energy among the computed polymorphs = 0.0000 eV per atom; total moment = 0.00 μB/atom; crystal system = trigonal
1.0
6.005 0.000 3.239
2.129 5.615 3.239
-2.513 -1.734 11.846
Ho Er Tm
4 8 3
Direct
0.000 0.000 0.000
0.336 0.336 0.991
0.500 0.500 0.500
0.664 0.664 0.009
0.245 0.245 0.266
0.247 0.750 0.252
0.750 0.750 0.252
0.750 0.247 0.252
0.755 0.755 0.734
0.753 0.250 0.748
0.250 0.250 0.748
0.250 0.753 0.748
0.500 0.000 0.500
0.000 0.000 0.500
0.000 0.500 0.500



Record 5
HoEr5Tm5 PBE optimized geometry; ΔH_f (0 K) = 0.296 eV/atom; relative energy among the computed polymorphs = 0.1465 eV per atom; total moment = 0.08 μB/atom; crystal system = monoclinic
1.0
5.820 0.000 0.000
-2.910 9.325 0.363
0.000 -2.774 6.228
Ho Er Tm
1 5 5
Direct
0.000 0.000 0.000
0.821 0.642 0.067
0.821 0.642 0.576
0.500 0.000 0.000
0.179 0.358 0.424
0.179 0.358 0.933
0.669 0.338 0.167
0.624 0.247 0.621
0.000 0.000 0.500
0.376 0.753 0.379
0.331 0.662 0.833



Record 6
Ho14ErTm PBE optimized geometry; ΔH_f (0 K) = 0.060 eV/atom; total moment = 0.00 μB/atom; crystal system = orthorhombic
1.0
6.858 -0.115 0.000
-2.023 6.554 0.000
0.000 0.000 11.034
Ho Er Tm
14 1 1
Direct
0.105 0.895 0.000
0.554 0.446 0.000
0.212 0.377 0.500
0.037 0.373 0.000
0.623 0.788 0.500
0.627 0.963 0.000
0.416 0.165 0.749
0.416 0.165 0.251
0.835 0.584 0.749
0.835 0.584 0.251
0.346 0.654 0.767
0.346 0.654 0.233
0.904 0.096 0.732
0.904 0.096 0.268
0.696 0.304 0.500
0.145 0.855 0.500



Record 7
Ho2Er5Tm4 PBE optimized geometry; ΔH_f (0 K) = 0.233 eV/atom; total moment = 0.00 μB/atom; crystal system = orthorhombic
1.0
3.447 0.000 0.000
0.000 8.852 0.000
-1.724 -4.426 11.439
Ho Er Tm
2 5 4
Direct
0.268 0.268 0.537
0.732 0.732 0.463
0.857 0.054 0.713
0.857 0.660 0.713
0.143 0.340 0.287
0.143 0.946 0.287
0.500 0.000 0.000
0.000 0.311 0.000
0.597 0.597 0.194
0.000 0.689 0.000
0.403 0.403 0.806



Record 8
Ho2Er3Tm8 PBE optimized geometry; ΔH_f (0 K) = 0.249 eV/atom; relative energy among the computed polymorphs = 0.0821 eV per atom; total moment = 0.00 μB/atom; crystal system = monoclinic
1.0
5.444 0.000 0.759
0.000 7.466 -0.002
-1.388 -3.736 9.952
Ho Er Tm
2 3 8
Direct
0.500 0.241 0.483
0.500 0.759 0.517
0.500 0.000 0.000
0.000 0.283 0.000
0.000 0.717 0.000
0.000 0.666 0.332
0.000 0.334 0.668
0.000 0.133 0.266
0.000 0.867 0.734
0.500 0.604 0.782
0.500 0.177 0.782
0.500 0.823 0.218
0.500 0.396 0.218



Record 9
Ho5Er7Tm PBE optimized geometry; ΔH_f (0 K) = 0.267 eV/atom; total moment = 0.00 μB/atom; crystal system = orthorhombic
1.0
6.600 0.000 0.000
3.300 7.914 0.142
3.300 0.117 7.914
Ho Er Tm
5 7 1
Direct
0.462 0.996 0.543
0.999 0.996 0.543
0.462 0.543 0.996
0.999 0.543 0.996
0.731 0.769 0.769
0.731 0.269 0.269
0.423 0.577 0.577
0.981 0.349 0.690
0.981 0.690 0.349
0.231 0.269 0.269
0.481 0.849 0.190
0.481 0.190 0.849
0.039 0.961 0.961



Record 10
Ho2ErTm PBE optimized geometry; ΔH_f (0 K) = 0.024 eV/atom; relative energy among the computed polymorphs = 0.0254 eV per atom; total moment = 0.00 μB/atom; crystal system = trigonal
1.0
-1.081 -0.200 3.327
-0.273 -3.121 1.569
10.356 -0.262 5.196
Tm Ho Er
1 2 1
Direct
0.000 0.000 0.000
0.750 0.750 0.751
0.250 0.250 0.249
0.500 0.500 0.500



Record 11
Ho2Er5Tm12 PBE optimized geometry; ΔH_f (0 K) = 0.129 eV/atom; relative energy among the computed polymorphs = 0.0329 eV per atom; total moment = 0.00 μB/atom; crystal system = monoclinic
1.0
9.058 0.000 0.000
-4.529 7.685 1.147
0.000 -1.375 8.242
Ho Er Tm
2 5 12
Direct
0.680 0.000 0.000
0.320 0.000 0.000
0.233 0.466 0.575
0.302 0.604 0.992
0.000 0.000 0.500
0.698 0.396 0.008
0.767 0.534 0.425
0.907 0.815 0.115
0.026 0.689 0.755
0.662 0.689 0.755
0.180 0.746 0.341
0.566 0.746 0.341
0.443 0.886 0.667
0.557 0.114 0.333
0.820 0.254 0.659
0.434 0.254 0.659
0.974 0.311 0.245
0.338 0.311 0.245
0.093 0.185 0.885



Record 12
HoErTm PBE optimized geometry; ΔH_f (0 K) = 0.023 eV/atom; relative energy among the computed polymorphs = 0.0000 eV per atom; total moment = 0.00 μB/atom; crystal system = orthorhombic
1.0
4.310 0.000 -2.443
0.000 6.990 0.000
0.853 0.000 11.563
Ho Er Tm
4 4 4
Direct
0.167 0.875 0.417
0.833 0.375 0.083
0.833 0.125 0.583
0.167 0.625 0.917
0.500 0.875 0.750
0.500 0.375 0.750
0.500 0.125 0.250
0.500 0.625 0.250
0.833 0.875 0.083
0.167 0.375 0.417
0.167 0.125 0.917
0.833 0.625 0.583



Record 13
Ho4Er5Tm3 PBE optimized geometry; ΔH_f (0 K) = 0.023 eV/atom; relative energy among the computed polymorphs = 0.0000 eV per atom; total moment = 0.00 μB/atom; crystal system = triclinic
1.0
-4.842 -4.874 -1.368
4.473 7.509 -6.771
-0.099 -11.436 5.309
Ho Er Tm
4 5 3
Direct
0.916 0.834 0.667
0.833 0.666 0.833
0.167 0.334 0.167
0.084 0.166 0.333
0.333 0.666 0.833
0.500 0.000 0.500
0.750 0.500 0.000
0.250 0.500 0.000
0.667 0.334 0.167
0.583 0.166 0.333
0.000 0.000 0.500
0.417 0.834 0.667



Record 14
Ho5Er2Tm6 PBE optimized geometry; ΔH_f (0 K) = 0.101 eV/atom; total moment = 0.00 μB/atom; crystal system = orthorhombic
1.0
3.517 0.000 0.000
0.000 11.448 0.000
0.000 0.000 19.928
Ho Er Tm
10 4 12
Direct
0.500 0.302 0.450
0.500 0.698 0.550
0.500 0.802 0.050
0.500 0.198 0.950
0.500 0.589 0.273
0.500 0.411 0.727
0.500 0.089 0.227
0.500 0.911 0.773
0.500 0.500 0.000
0.500 0.000 0.500
0.000 0.333 0.291
0.000 0.667 0.709
0.000 0.833 0.209
0.000 0.167 0.791
0.000 0.083 0.369
0.000 0.917 0.631
0.000 0.583 0.131
0.000 0.417 0.869
0.500 0.327 0.136
0.500 0.673 0.864
0.500 0.827 0.364
0.500 0.173 0.636
0.000 0.559 0.419
0.000 0.441 0.581
0.000 0.059 0.081
0.000 0.941 0.919



Record 15
Ho12Er5Tm PBE optimized geometry; ΔH_f (0 K) = 0.011 eV/atom; total moment = 0.00 μB/atom; crystal system = monoclinic
1.0
5.280 3.043 0.179
-5.280 3.043 0.179
0.000 1.018 17.148
Ho Er Tm
12 5 1
Direct
0.111 0.111 0.667
0.889 0.889 0.333
0.278 0.278 0.166
0.722 0.722 0.834
0.611 0.944 0.166
0.056 0.389 0.834
0.944 0.611 0.166
0.389 0.056 0.834
0.555 0.222 0.333
0.222 0.555 0.333
0.778 0.445 0.667
0.445 0.778 0.667
0.500 0.500 0.500
0.833 0.167 0.500
0.167 0.833 0.500
0.333 0.667 0.000
0.667 0.333 0.000
0.000 0.000 0.000



Record 16
Ho2Er3Tm4 PBE optimized geometry; ΔH_f (0 K) = 0.106 eV/atom; total moment = 0.00 μB/atom; crystal system = monoclinic
1.0
-4.155 -3.484 -2.673
1.002 -1.950 -10.847
2.973 -10.168 -3.197
Ho Er Tm
4 6 8
Direct
0.422 0.236 0.522
0.078 0.478 0.764
0.578 0.764 0.478
0.922 0.522 0.236
0.755 0.070 0.263
0.745 0.737 0.930
0.245 0.930 0.737
0.255 0.263 0.070
0.250 0.596 0.404
0.750 0.404 0.596
0.421 0.904 0.188
0.079 0.812 0.096
0.579 0.096 0.812
0.921 0.188 0.904
0.080 0.145 0.428
0.420 0.572 0.855
0.920 0.855 0.572
0.580 0.428 0.145



Record 17
Ho7Er2Tm3 PBE optimized geometry; ΔH_f (0 K) = 0.117 eV/atom; relative energy among the computed polymorphs = 0.0000 eV per atom; total moment = 0.00 μB/atom; crystal system = orthorhombic
1.0
3.549 0.000 0.000
0.000 5.614 0.000
0.000 -2.807 18.556
Ho Er Tm
7 2 3
Direct
0.000 0.408 0.816
0.000 0.769 0.538
0.000 0.000 0.000
0.000 0.592 0.184
0.500 0.072 0.144
0.500 0.928 0.856
0.000 0.231 0.462
0.000 0.852 0.704
0.000 0.148 0.296
0.500 0.500 0.000
0.500 0.685 0.370
0.500 0.315 0.630



Record 18
Ho4ErTm8 PBE optimized geometry; ΔH_f (0 K) = 0.237 eV/atom; total moment = 0.00 μB/atom; crystal system = trigonal
1.0
6.318 0.000 -3.408
-4.078 5.908 0.000
1.183 0.818 9.752
Ho Er Tm
4 1 8
Direct
0.000 0.000 0.000
0.000 0.500 0.000
0.500 0.500 0.000
0.500 0.000 0.000
0.000 0.500 0.500
0.569 0.784 0.353
0.431 0.216 0.647
0.499 0.250 0.303
0.947 0.196 0.697
0.501 0.750 0.697
0.947 0.750 0.697
0.053 0.250 0.303
0.053 0.804 0.303



Record 19
Ho2ErTm PBE optimized geometry; ΔH_f (0 K) = 0.021 eV/atom; relative energy among the computed polymorphs = 0.0222 eV per atom; total moment = 0.00 μB/atom; crystal system = orthorhombic
1.0
3.494 0.000 0.000
0.000 4.960 0.000
0.000 0.000 7.003
Ho Er Tm
2 1 1
Direct
0.000 0.000 0.999
0.500 0.500 0.250
0.000 0.000 0.501
0.500 0.500 0.750